(1)
Entry from the Alexandria database: a relaxed structure of BaAs2Pb (PBE).

density of states at the Fermi level	1.7	states/eV/cell
symmetry	P4/mmm
energy relative to the elements	-0.398	eV/atom

a = 4.1667 Å, b = 4.1667 Å, c = 6.7646 Å
α = 90.00°, β = 90.00°, γ = 90.00°
Positions (direct):
Ba 0.0000 0.0000 0.0000
As 0.5000 0.5000 0.3069
As 0.5000 0.5000 0.6931
Pb 0.0000 0.0000 0.5000


(2)
Entry from the Alexandria database: a relaxed structure of Mn4Zn (PBE).

ΔE to the lowest computed polymorph	0.000	eV per atom
density of states at the Fermi level	13.1	states/eV/cell
symmetry	I4/m
energy relative to the elements	0.187	eV/atom

a = 5.5744 Å, b = 5.5744 Å, c = 3.6259 Å
α = 90.00°, β = 90.00°, γ = 90.00°
Positions (direct):
Mn 0.0840 0.6992 0.0000
Mn 0.1992 0.4160 0.5000
Mn 0.3008 0.0840 0.0000
Mn 0.4160 0.8008 0.5000
Mn 0.5840 0.1992 0.5000
Mn 0.6992 0.9160 0.0000
Mn 0.8008 0.5840 0.5000
Mn 0.9160 0.3008 0.0000
Zn 0.0000 0.0000 0.5000
Zn 0.5000 0.5000 0.0000


(3)
Entry from the Alexandria database: a relaxed structure of MgTa2P (PBE).

ΔE to the lowest computed polymorph	0.000	eV per atom
density of states at the Fermi level	2.3	states/eV/cell
symmetry	P4/mmm
energy relative to the elements	-0.099	eV/atom

a = 3.0574 Å, b = 3.0574 Å, c = 7.5523 Å
α = 90.00°, β = 90.00°, γ = 90.00°
Positions (direct):
Mg 0.0000 0.0000 0.0000
Ta 0.5000 0.5000 0.3065
Ta 0.5000 0.5000 0.6935
P 0.0000 0.0000 0.5000


(4)
Entry from the Alexandria database: a relaxed structure of La2Al3PbAu4 (PBE).

density of states at the Fermi level	6.4	states/eV/cell
symmetry	P-4m2
energy relative to the elements	-0.649	eV/atom

a = 4.4722 Å, b = 4.4722 Å, c = 11.2601 Å
α = 90.00°, β = 90.00°, γ = 90.00°
Positions (direct):
La 0.0000 0.5000 0.2358
La 0.5000 0.0000 0.7642
Al 0.0000 0.5000 0.8809
Al 0.5000 0.0000 0.1191
Al 0.5000 0.5000 0.5000
Pb 0.0000 0.0000 0.5000
Au 0.0000 0.0000 0.0000
Au 0.0000 0.5000 0.6586
Au 0.5000 0.0000 0.3414
Au 0.5000 0.5000 0.0000


(5)
Entry from the Alexandria database: a relaxed structure of Pr7TlCd4 (PBE).

density of states at the Fermi level	13.3	states/eV/cell
symmetry	C2/m
energy relative to the elements	-0.133	eV/atom

a = 8.1208 Å, b = 8.1208 Å, c = 9.5975 Å
α = 117.94°, β = 117.94°, γ = 43.69°
Positions (direct):
Pr 0.0000 0.0000 0.0000
Pr 0.2352 0.2352 0.6993
Pr 0.3170 0.3170 0.1184
Pr 0.4276 0.4276 0.5941
Pr 0.5724 0.5724 0.4059
Pr 0.6830 0.6830 0.8816
Pr 0.7648 0.7648 0.3007
Tl 0.5000 0.5000 0.0000
Cd 0.0246 0.0246 0.6802
Cd 0.1887 0.1887 0.3404
Cd 0.8113 0.8113 0.6596
Cd 0.9754 0.9754 0.3198


(6)
Entry from the Alexandria database: a relaxed structure of Ag4Cl3 (PBE).

uncorrected formation energy	-1.22	eV per formula unit
ΔE to the lowest computed polymorph	0.000	eV per atom
density of states at the Fermi level	1.6	states/eV/cell
symmetry	I4/mmm

a = 3.6252 Å, b = 3.6252 Å, c = 22.8844 Å
α = 90.00°, β = 90.00°, γ = 90.00°
Positions (direct):
Ag 0.0000 0.0000 0.0664
Ag 0.0000 0.0000 0.3655
Ag 0.0000 0.0000 0.6345
Ag 0.0000 0.0000 0.9336
Ag 0.5000 0.5000 0.1345
Ag 0.5000 0.5000 0.4336
Ag 0.5000 0.5000 0.5664
Ag 0.5000 0.5000 0.8655
Cl 0.0000 0.0000 0.1841
Cl 0.0000 0.0000 0.5000
Cl 0.0000 0.0000 0.8159
Cl 0.5000 0.5000 0.0000
Cl 0.5000 0.5000 0.3159
Cl 0.5000 0.5000 0.6841


Calculated total energy in order - -4.131 -7.404 -7.776 -4.439 -3.423 -2.595 eV per atom